First-principles (PBE-GGA) data for a relaxed Y2BAu crystal, as listed in the Alexandria database.

extended XYZ file:
```
8
Lattice="-3.163 -4.578 4.558 1.697 -5.486 -4.332 2.440 -5.454 1.891" Properties=species:S:1:pos:R:3 pbc="T T T"
Y 0.459 -12.609 1.844
Au 0.000 0.000 0.000
Y 1.370 -8.152 1.276
B -0.733 -5.032 0.113
B 1.702 -7.986 -1.164
Y 1.110 -5.605 -1.426
Au -0.728 -7.532 3.281
Y -0.989 -4.671 2.541
```

E_tot ... -5.773 eV/atom
Energy of formation from the pure elements ... -0.05 eV per atom
SG ... I-42d (122)
Crystal system ... tetragonal

First-principles (PBE-GGA) data for a relaxed Mg3HgBi3 crystal, as listed in the Alexandria database.

extended XYZ file:
```
14
Lattice="8.239 0.000 0.000 0.000 8.239 0.000 0.000 0.000 8.239" Properties=species:S:1:pos:R:3 pbc="T T T"
Mg 0.000 2.060 4.119
Bi 4.119 6.179 0.000
Bi 4.119 2.060 0.000
Bi 2.060 0.000 4.119
Mg 4.119 0.000 6.179
Mg 6.179 4.119 0.000
Bi 0.000 4.119 2.060
Mg 0.000 6.179 4.119
Hg 4.119 4.119 4.119
Mg 2.060 4.119 0.000
Bi 0.000 4.119 6.179
Hg 0.000 0.000 0.000
Mg 4.119 0.000 2.060
Bi 6.179 0.000 4.119
```

E_tot ... -2.183 eV/atom
Energy of formation from the pure elements ... 0.21 eV per atom
SG ... Pm-3n (223)
Crystal system ... cubic